! KCrFe2 (PBE, optimized geometry); values from VASP
&SYSTEM
  ibrav = 0, nat = 4, ntyp = 3
/
ATOMIC_SPECIES
Cr 52.00 Cr.upf
Fe 55.84 Fe.upf
K 39.10 K.upf
CELL_PARAMETERS angstrom
-1.971 -3.728 8.807
-3.829 -5.095 7.398
-1.300 -6.034 7.566
ATOMIC_POSITIONS crystal
Cr 0.750 0.750 0.750
Fe 0.017 0.017 0.017
Fe 0.483 0.483 0.483
K 0.250 0.250 0.250
! Relative energy among the computed polymorphs: 0.182 eV/atom
! SG: R-3m, No. 166
! Energy relative to the elements: 924 meV/atom
! DFT total energy: -5.99 eV per atom



! KCrFe2 (PBE, optimized geometry); values from VASP
&SYSTEM
  ibrav = 0, nat = 4, ntyp = 3
/
ATOMIC_SPECIES
Cr 52.00 Cr.upf
Fe 55.84 Fe.upf
K 39.10 K.upf
CELL_PARAMETERS angstrom
-1.209 -1.473 -2.026
4.316 -0.174 -2.450
1.213 -4.360 2.446
ATOMIC_POSITIONS crystal
Cr 0.000 0.500 0.500
Fe 0.000 0.000 0.000
Fe 0.500 0.500 0.000
K 0.500 0.000 0.500
! Relative energy among the computed polymorphs: 0.723 eV/atom
! SG: Pmmm, No. 47
! Energy relative to the elements: 1465 meV/atom
! DFT total energy: -5.45 eV per atom



! KCrFe2 (PBE, optimized geometry); values from VASP
&SYSTEM
  ibrav = 0, nat = 4, ntyp = 3
/
ATOMIC_SPECIES
Cr 52.00 Cr.upf
Fe 55.84 Fe.upf
K 39.10 K.upf
CELL_PARAMETERS angstrom
-5.101 2.424 1.287
-4.678 -3.346 -0.691
4.967 1.498 2.577
ATOMIC_POSITIONS crystal
Cr 0.250 0.750 0.500
Fe 0.051 0.051 0.000
Fe 0.449 0.449 0.000
K 0.750 0.250 0.500
! Relative energy among the computed polymorphs: 0.570 eV/atom
! SG: Immm, No. 71
! Energy relative to the elements: 1312 meV/atom
! DFT total energy: -5.60 eV per atom



! KCrFe2 (PBE, optimized geometry); values from VASP
&SYSTEM
  ibrav = 0, nat = 4, ntyp = 3
/
ATOMIC_SPECIES
Cr 52.00 Cr.upf
Fe 55.84 Fe.upf
K 39.10 K.upf
CELL_PARAMETERS angstrom
-2.776 3.282 -1.778
-4.591 -0.197 0.720
-2.048 3.088 2.812
ATOMIC_POSITIONS crystal
Cr 0.500 0.500 0.500
Fe 0.000 0.000 0.000
Fe 0.250 0.250 0.250
K 0.750 0.750 0.750
! Relative energy among the computed polymorphs: 0.766 eV/atom
! SG: F-43m, No. 216
! Energy relative to the elements: 1508 meV/atom
! DFT total energy: -5.40 eV per atom



! K3CrFe (PBE, optimized geometry); values from VASP
&SYSTEM
  ibrav = 0, nat = 5, ntyp = 3
/
ATOMIC_SPECIES
Cr 52.00 Cr.upf
K 39.10 K.upf
Fe 55.84 Fe.upf
CELL_PARAMETERS angstrom
-4.888 -4.346 0.189
3.289 -3.506 4.439
-2.847 3.411 4.803
ATOMIC_POSITIONS crystal
Cr 0.500 0.500 0.500
K 0.000 0.500 0.000
K 0.000 0.000 0.500
K 0.500 0.000 0.000
Fe 0.000 0.000 0.000
! Relative energy among the computed polymorphs: 0.000 eV/atom
! SG: Pm-3m, No. 221
! Energy relative to the elements: 1293 meV/atom
! DFT total energy: -2.98 eV per atom



! KCrFe2 (PBE, optimized geometry); values from VASP
&SYSTEM
  ibrav = 0, nat = 4, ntyp = 3
/
ATOMIC_SPECIES
Cr 52.00 Cr.upf
Fe 55.84 Fe.upf
K 39.10 K.upf
CELL_PARAMETERS angstrom
-2.361 -5.771 -0.527
3.558 1.674 -3.555
1.626 -1.906 0.726
ATOMIC_POSITIONS crystal
Cr 0.500 0.500 0.000
Fe 0.000 0.000 0.000
Fe 0.500 0.000 0.500
K 0.000 0.500 0.500
! Relative energy among the computed polymorphs: 0.629 eV/atom
! SG: Cmmm, No. 65
! Energy relative to the elements: 1370 meV/atom
! DFT total energy: -5.54 eV per atom



! KCrFe2 (PBE, optimized geometry); values from VASP
&SYSTEM
  ibrav = 0, nat = 4, ntyp = 3
/
ATOMIC_SPECIES
Cr 52.00 Cr.upf
Fe 55.84 Fe.upf
K 39.10 K.upf
CELL_PARAMETERS angstrom
-0.427 -1.088 -2.574
-2.713 -3.647 1.991
-4.087 2.771 -0.494
ATOMIC_POSITIONS crystal
Cr 0.500 0.000 0.500
Fe 0.000 0.000 0.000
Fe 0.000 0.500 0.500
K 0.500 0.500 0.000
! Relative energy among the computed polymorphs: 0.609 eV/atom
! SG: P4/mmm, No. 123
! Energy relative to the elements: 1350 meV/atom
! DFT total energy: -5.56 eV per atom



! KCrFe2 (PBE, optimized geometry); values from VASP
&SYSTEM
  ibrav = 0, nat = 8, ntyp = 3
/
ATOMIC_SPECIES
Cr 52.00 Cr.upf
K 39.10 K.upf
Fe 55.84 Fe.upf
CELL_PARAMETERS angstrom
4.847 0.000 0.000
0.000 4.847 0.000
2.424 2.424 7.167
ATOMIC_POSITIONS crystal
Cr 0.000 0.000 0.000
Cr 0.750 0.250 0.500
K 0.500 0.500 0.000
K 0.250 0.750 0.500
Fe 0.875 0.125 0.250
Fe 0.875 0.625 0.250
Fe 0.375 0.125 0.750
Fe 0.875 0.125 0.750
! Relative energy among the computed polymorphs: 0.828 eV/atom
! SG: I4_1/amd, No. 141
! Energy relative to the elements: 1569 meV/atom
! DFT total energy: -5.34 eV per atom



! KCrFe (PBE, optimized geometry); values from VASP
&SYSTEM
  ibrav = 0, nat = 3, ntyp = 3
/
ATOMIC_SPECIES
Cr 52.00 Cr.upf
Fe 55.84 Fe.upf
K 39.10 K.upf
CELL_PARAMETERS angstrom
-1.250 2.691 4.184
-4.558 -0.716 2.243
-0.276 -2.331 4.562
ATOMIC_POSITIONS crystal
Cr 0.000 0.000 0.000
Fe 0.500 0.500 0.500
K 0.250 0.250 0.250
! Relative energy among the computed polymorphs: 1.241 eV/atom
! SG: F-43m, No. 216
! Energy relative to the elements: 2142 meV/atom
! DFT total energy: -4.25 eV per atom



! KCrFe3 (PBE, optimized geometry); values from VASP
&SYSTEM
  ibrav = 0, nat = 5, ntyp = 3
/
ATOMIC_SPECIES
Cr 52.00 Cr.upf
K 39.10 K.upf
Fe 55.84 Fe.upf
CELL_PARAMETERS angstrom
-1.509 -1.407 4.009
-1.506 -3.802 -1.901
3.973 -1.975 0.803
ATOMIC_POSITIONS crystal
Cr 0.000 0.000 0.000
K 0.500 0.500 0.500
Fe 0.000 0.500 0.000
Fe 0.000 0.000 0.500
Fe 0.500 0.000 0.000
! Relative energy among the computed polymorphs: 0.000 eV/atom
! SG: Pm-3m, No. 221
! Energy relative to the elements: 1267 meV/atom
! DFT total energy: -5.96 eV per atom



! KCrFe3 (PBE, optimized geometry); values from VASP
&SYSTEM
  ibrav = 0, nat = 5, ntyp = 3
/
ATOMIC_SPECIES
Cr 52.00 Cr.upf
K 39.10 K.upf
Fe 55.84 Fe.upf
CELL_PARAMETERS angstrom
-3.613 1.325 -2.345
-2.388 0.240 3.815
1.246 4.301 0.510
ATOMIC_POSITIONS crystal
Cr 0.500 0.500 0.500
K 0.000 0.000 0.000
Fe 0.000 0.500 0.000
Fe 0.000 0.000 0.500
Fe 0.500 0.000 0.000
! Relative energy among the computed polymorphs: 1.294 eV/atom
! SG: Pm-3m, No. 221
! Energy relative to the elements: 2560 meV/atom
! DFT total energy: -4.66 eV per atom



! KCrFe (PBE, optimized geometry); values from VASP
&SYSTEM
  ibrav = 0, nat = 3, ntyp = 3
/
ATOMIC_SPECIES
Cr 52.00 Cr.upf
Fe 55.84 Fe.upf
K 39.10 K.upf
CELL_PARAMETERS angstrom
3.203 0.000 0.000
-1.602 2.774 0.000
0.000 0.000 7.175
ATOMIC_POSITIONS crystal
Cr 0.000 0.000 0.099
Fe 0.333 0.667 0.249
K 0.667 0.333 0.652
! Relative energy among the computed polymorphs: 0.190 eV/atom
! SG: P3m1, No. 156
! Energy relative to the elements: 1091 meV/atom
! DFT total energy: -5.30 eV per atom



! KCrFe (PBE, optimized geometry); values from VASP
&SYSTEM
  ibrav = 0, nat = 3, ntyp = 3
/
ATOMIC_SPECIES
Cr 52.00 Cr.upf
Fe 55.84 Fe.upf
K 39.10 K.upf
CELL_PARAMETERS angstrom
-4.420 1.839 -0.322
-3.275 -1.025 3.354
-1.418 3.391 3.084
ATOMIC_POSITIONS crystal
Cr 0.500 0.500 0.500
Fe 0.250 0.250 0.250
K 0.000 0.000 0.000
! Relative energy among the computed polymorphs: 0.679 eV/atom
! SG: F-43m, No. 216
! Energy relative to the elements: 1580 meV/atom
! DFT total energy: -4.81 eV per atom



! KCr3Fe (PBE, optimized geometry); values from VASP
&SYSTEM
  ibrav = 0, nat = 5, ntyp = 3
/
ATOMIC_SPECIES
Cr 52.00 Cr.upf
K 39.10 K.upf
Fe 55.84 Fe.upf
CELL_PARAMETERS angstrom
4.689 0.000 0.000
0.000 4.689 0.000
0.000 0.000 4.689
ATOMIC_POSITIONS crystal
Cr 0.000 0.500 0.000
Cr 0.000 0.000 0.500
Cr 0.500 0.000 0.000
K 0.500 0.500 0.500
Fe 0.000 0.000 0.000
! Relative energy among the computed polymorphs: 0.000 eV/atom
! SG: Pm-3m, No. 221
! Energy relative to the elements: 1193 meV/atom
! DFT total energy: -6.49 eV per atom



! KCrFe2 (PBE, optimized geometry); values from VASP
&SYSTEM
  ibrav = 0, nat = 4, ntyp = 3
/
ATOMIC_SPECIES
Cr 52.00 Cr.upf
Fe 55.84 Fe.upf
K 39.10 K.upf
CELL_PARAMETERS angstrom
2.628 0.070 0.000
-0.908 2.467 0.000
0.000 0.000 9.451
ATOMIC_POSITIONS crystal
Cr 0.500 0.500 0.750
Fe 0.000 0.000 0.943
Fe 0.000 0.000 0.557
K 0.500 0.500 0.250
! Relative energy among the computed polymorphs: 0.121 eV/atom
! SG: Cmmm, No. 65
! Energy relative to the elements: 862 meV/atom
! DFT total energy: -6.05 eV per atom